# 1
# Dy2BiN

Crystalline Dy2BiN at its relaxed geometry (PBE, Alexandria).

Properties
Calculated volume: 26.68 Å³/atom
Energy: -6.39 eV/atom
Density of states at the Fermi level: 0.066 states/eV/atom
Formation energy (no corrections): -4.16 eV/f.u.

```
16
Lattice="-1.600 4.524 -4.133 -6.154 -0.845 1.457 2.192 7.448 7.304" Properties=species:S:1:pos:R:3 pbc="T T T"
Dy -0.939 6.120 -0.823
Dy -0.284 1.567 -0.220
Dy -1.920 6.594 6.141
Bi -2.165 9.276 4.200
Bi 0.137 7.806 1.700
Bi -3.397 1.851 0.428
Dy -4.623 5.007 5.451
Dy -2.372 3.642 2.858
N -3.053 6.407 -0.248
Bi -5.699 3.321 2.928
Dy -3.190 7.486 1.770
N -2.509 4.721 4.876
N -3.850 6.361 7.191
Dy -5.278 9.560 4.848
N -1.712 4.766 -2.562
Dy -3.642 4.533 -1.513
```

---

# 2
# Dy2BiN

Crystalline Dy2BiN at its relaxed geometry (PBE, Alexandria).

Properties
Calculated volume: 20.25 Å³/atom
Energy: -5.83 eV/atom
Density of states at the Fermi level: 0.448 states/eV/atom
Formation energy (no corrections): -1.93 eV/f.u.

```
4
Lattice="3.216 0.000 0.000 0.000 3.216 0.000 0.000 0.000 7.831" Properties=species:S:1:pos:R:3 pbc="T T T"
Dy 0.000 0.000 6.400
Dy 0.000 0.000 1.431
Bi 1.608 1.608 3.916
N 1.608 1.608 0.000
```

---

# 3
# DyBiN

Crystalline DyBiN at its relaxed geometry (PBE, Alexandria).

Properties
Calculated volume: 22.95 Å³/atom
Energy: -5.84 eV/atom
Density of states at the Fermi level: 0.341 states/eV/atom
Formation energy (no corrections): -0.72 eV/f.u.

```
12
Lattice="-6.059 3.658 -4.922 -5.514 -6.627 -0.046 4.125 2.845 5.541" Properties=species:S:1:pos:R:3 pbc="T T T"
Bi -0.725 0.594 1.334
Bi -4.313 -2.039 2.839
Dy -5.914 0.921 -3.625
Bi -2.863 -3.227 0.171
Dy -5.659 -3.890 -1.344
N -4.823 0.512 -1.709
Bi -6.723 -0.717 -0.762
N -2.761 1.935 1.062
Dy -3.988 4.915 -2.073
Dy -3.733 0.104 0.208
N -7.580 -2.801 -1.732
N 0.269 0.106 3.523
```

---

# 4
# Nd4Dy2Bi3N2

Crystalline Nd4Dy2Bi3N2 at its relaxed geometry (PBE, Alexandria).

Properties
Calculated volume: 27.89 Å³/atom
Energy: -6.13 eV/atom
Density of states at the Fermi level: 0.384 states/eV/atom
Formation energy (no corrections): -10.89 eV/f.u.

```
11
Lattice="4.835 0.000 0.000 0.000 4.835 0.000 -2.418 -2.418 13.122" Properties=species:S:1:pos:R:3 pbc="T T T"
N 2.418 2.418 2.839
Dy 0.000 0.000 8.110
Nd 2.418 0.000 2.235
Nd 2.418 0.000 10.888
Dy 2.418 2.418 5.012
Nd 0.000 2.418 2.235
Bi 0.000 0.000 4.805
N 0.000 0.000 10.283
Nd 0.000 2.418 10.888
Bi 2.418 2.418 8.317
Bi 0.000 0.000 0.000
```

---

# 5
# Nd2Dy4Bi3N2

Crystalline Nd2Dy4Bi3N2 at its relaxed geometry (PBE, Alexandria).

Properties
Calculated volume: 26.29 Å³/atom
Energy: -6.17 eV/atom
Density of states at the Fermi level: 0.641 states/eV/atom
Formation energy (no corrections): -11.59 eV/f.u.

```
11
Lattice="4.704 0.000 0.000 0.000 4.704 0.000 -2.352 -2.352 13.071" Properties=species:S:1:pos:R:3 pbc="T T T"
Dy 0.000 2.352 2.183
Bi 2.352 2.352 8.422
Bi 0.000 0.000 4.649
Dy 0.000 2.352 10.888
Dy 2.352 0.000 10.888
Dy 2.352 0.000 2.183
Nd 2.352 2.352 5.019
Bi 0.000 0.000 0.000
Nd 0.000 0.000 8.052
N 2.352 2.352 2.589
N 0.000 0.000 10.482
```

---

# 6
# DyPaBi2N

Crystalline DyPaBi2N at its relaxed geometry (PBE, Alexandria).

Properties
Calculated volume: 25.55 Å³/atom
Energy: -6.92 eV/atom
Density of states at the Fermi level: 0.642 states/eV/atom
Formation energy (no corrections): -4.41 eV/f.u.

```
10
Lattice="4.152 0.000 0.000 0.000 4.152 0.000 0.000 0.000 14.825" Properties=species:S:1:pos:R:3 pbc="T T T"
Bi 2.076 0.000 4.481
Dy 0.000 2.076 13.584
Bi 2.076 0.000 12.725
Bi 0.000 2.076 2.100
Dy 2.076 0.000 1.241
Pa 2.076 0.000 8.479
Pa 0.000 2.076 6.347
Bi 0.000 2.076 10.344
N 2.076 2.076 7.413
N 0.000 0.000 7.413
```

---

# 7
# DyPaBiN2

Crystalline DyPaBiN2 at its relaxed geometry (PBE, Alexandria).

Properties
Calculated volume: 21.15 Å³/atom
Energy: -8.36 eV/atom
Density of states at the Fermi level: 0.411 states/eV/atom
Formation energy (no corrections): -7.19 eV/f.u.

```
5
Lattice="-1.894 -0.951 3.343 3.339 -1.555 1.450 0.923 7.245 0.241" Properties=species:S:1:pos:R:3 pbc="T T T"
N 2.476 2.160 2.018
Bi 0.728 -1.232 2.406
N -0.141 2.462 2.964
Pa 0.577 2.101 0.925
Dy 1.817 2.733 4.151
```

---

# 8
# Pm2DyBi2N2

Crystalline Pm2DyBi2N2 at its relaxed geometry (PBE, Alexandria).

Properties
Calculated volume: 23.65 Å³/atom
Energy: -6.37 eV/atom
Density of states at the Fermi level: 0.511 states/eV/atom
Formation energy (no corrections): -6.08 eV/f.u.

```
7
Lattice="-1.399 0.465 4.281 2.246 -3.762 1.142 6.128 6.065 -1.049" Properties=species:S:1:pos:R:3 pbc="T T T"
N -0.700 0.232 2.140
Bi 4.180 0.883 3.665
Bi 2.795 1.884 0.709
Pm 1.630 -0.835 3.018
Dy 0.000 0.000 0.000
Pm 5.345 3.602 1.356
N 1.123 -1.881 0.571
```

---

# 9
# Pm4Dy2Bi3N2

Crystalline Pm4Dy2Bi3N2 at its relaxed geometry (PBE, Alexandria).

Properties
Calculated volume: 27.39 Å³/atom
Energy: -6.14 eV/atom
Density of states at the Fermi level: 0.355 states/eV/atom
Formation energy (no corrections): -11.09 eV/f.u.

```
11
Lattice="4.802 0.000 0.000 0.000 4.802 0.000 -2.401 -2.401 13.062" Properties=species:S:1:pos:R:3 pbc="T T T"
Pm 0.000 2.401 2.223
Dy 2.401 2.401 4.982
Bi 0.000 0.000 4.776
N 0.000 0.000 10.267
Pm 2.401 0.000 10.839
Pm 0.000 2.401 10.839
Dy 0.000 0.000 8.081
Pm 2.401 0.000 2.223
N 2.401 2.401 2.795
Bi 2.401 2.401 8.287
Bi 0.000 0.000 0.000
```

---

# 10
# PmDyBiN

Crystalline PmDyBiN at its relaxed geometry (PBE, Alexandria).

Properties
Calculated volume: 24.56 Å³/atom
Energy: -6.65 eV/atom
Density of states at the Fermi level: 0.141 states/eV/atom
Formation energy (no corrections): -5.06 eV/f.u.

```
8
Lattice="-2.986 1.976 2.893 2.663 -1.191 3.561 4.586 8.022 -0.747" Properties=species:S:1:pos:R:3 pbc="T T T"
Pm 2.161 0.856 1.646
N 1.126 5.570 1.020
Bi -0.611 2.531 1.303
Dy 2.293 4.011 -0.374
N 3.298 2.845 1.460
Bi 5.035 5.884 1.177
Dy 2.132 4.404 2.854
Pm 2.263 7.559 0.835
```

---

# 11
# Pr2DyBi2N2

Crystalline Pr2DyBi2N2 at its relaxed geometry (PBE, Alexandria).

Properties
Calculated volume: 24.25 Å³/atom
Energy: -6.38 eV/atom
Density of states at the Fermi level: 0.501 states/eV/atom
Formation energy (no corrections): -6.09 eV/f.u.

```
7
Lattice="-3.875 2.025 1.264 -1.752 -4.050 1.117 5.733 1.848 6.419" Properties=species:S:1:pos:R:3 pbc="T T T"
N -1.938 1.013 0.632
N -0.876 -2.025 0.558
Pr -2.272 -0.857 2.602
Dy 0.000 0.000 0.000
Bi -1.140 -0.533 5.554
Pr 2.378 0.680 6.198
Bi 1.245 0.356 3.246
```

---

# 12
# DyPuBiN

Crystalline DyPuBiN at its relaxed geometry (PBE, Alexandria).

Properties
Calculated volume: 23.75 Å³/atom
Energy: -8.82 eV/atom
Density of states at the Fermi level: 2.621 states/eV/atom
Formation energy (no corrections): -4.16 eV/f.u.

```
8
Lattice="4.601 0.000 0.000 0.000 4.601 0.000 0.000 0.000 8.975" Properties=species:S:1:pos:R:3 pbc="T T T"
N 0.000 2.301 3.767
Dy 2.301 2.301 4.488
Dy 0.000 0.000 4.488
Bi 0.000 2.301 7.254
Pu 0.000 2.301 1.610
Bi 2.301 0.000 1.721
Pu 2.301 0.000 7.365
N 2.301 0.000 5.208
```

---

# 13
# Dy3BiSN

Crystalline Dy3BiSN at its relaxed geometry (PBE, Alexandria).

Properties
Calculated volume: 25.69 Å³/atom
Energy: -6.39 eV/atom
Density of states at the Fermi level: 0.415 states/eV/atom
Formation energy (no corrections): -8.22 eV/f.u.

```
12
Lattice="-0.043 3.206 -2.523 -6.741 3.136 4.099 7.023 3.666 4.537" Properties=species:S:1:pos:R:3 pbc="T T T"
Dy 2.110 5.699 5.556
N -3.330 6.692 3.613
S 3.596 6.597 3.373
S -3.357 3.410 2.741
Dy -2.286 5.201 4.998
Bi 0.289 2.192 1.132
Dy -4.904 5.763 2.459
N 3.570 3.315 2.501
Dy 2.525 4.806 1.115
Dy 5.143 4.244 3.655
Dy -1.870 4.308 0.558
Bi -0.050 7.814 4.982
```

---

# 14
# Dy3BiSeN

Crystalline Dy3BiSeN at its relaxed geometry (PBE, Alexandria).

Properties
Calculated volume: 27.07 Å³/atom
Energy: -6.23 eV/atom
Density of states at the Fermi level: 0.408 states/eV/atom
Formation energy (no corrections): -7.87 eV/f.u.

```
12
Lattice="4.122 0.000 0.000 0.000 8.717 0.820 0.000 -2.494 8.805" Properties=species:S:1:pos:R:3 pbc="T T T"
N 3.092 6.901 4.278
Se 1.031 5.235 1.975
Dy 1.031 -1.117 7.461
Dy 3.092 3.223 1.667
Bi 3.092 5.247 7.616
Dy 1.031 3.001 7.958
N 1.031 -0.678 5.347
Dy 3.092 0.056 4.629
Dy 3.092 7.341 2.165
Dy 1.031 6.167 4.997
Se 3.092 0.988 7.651
Bi 1.031 0.976 2.010
```

---

# 15
# SmDyBiN

Crystalline SmDyBiN at its relaxed geometry (PBE, Alexandria).

Properties
Calculated volume: 24.37 Å³/atom
Energy: -6.65 eV/atom
Density of states at the Fermi level: 0.136 states/eV/atom
Formation energy (no corrections): -5.06 eV/f.u.

```
8
Lattice="4.595 0.000 0.000 0.000 4.595 0.000 0.000 0.000 9.234" Properties=species:S:1:pos:R:3 pbc="T T T"
Bi 0.000 2.298 7.468
N 2.298 0.000 5.282
Dy 0.000 0.000 4.617
Sm 2.298 0.000 7.563
Bi 2.298 0.000 1.766
Sm 0.000 2.298 1.671
Dy 2.298 2.298 4.617
N 0.000 2.298 3.952
```

---

# 16
# Tb2DyBi2N2

Crystalline Tb2DyBi2N2 at its relaxed geometry (PBE, Alexandria).

Properties
Calculated volume: 22.84 Å³/atom
Energy: -6.30 eV/atom
Density of states at the Fermi level: 0.496 states/eV/atom
Formation energy (no corrections): -5.85 eV/f.u.

```
7
Lattice="4.495 0.000 0.000 0.000 4.495 0.000 -2.248 -2.248 7.914" Properties=species:S:1:pos:R:3 pbc="T T T"
Tb 2.248 2.248 1.449
N 2.248 0.000 0.000
Bi 0.000 0.000 3.377
Bi 2.248 2.248 4.537
N 0.000 2.248 0.000
Tb 0.000 0.000 6.465
Dy 0.000 0.000 0.000
```

---

# 17
# Dy3BiTeN

Crystalline Dy3BiTeN at its relaxed geometry (PBE, Alexandria).

Properties
Calculated volume: 29.17 Å³/atom
Energy: -6.03 eV/atom
Density of states at the Fermi level: 0.414 states/eV/atom
Formation energy (no corrections): -7.02 eV/f.u.

```
12
Lattice="-1.550 -1.592 -3.534 6.963 -5.936 -0.379 -5.601 -5.421 4.898" Properties=species:S:1:pos:R:3 pbc="T T T"
Dy -2.957 -4.722 -0.275
Te 2.886 -5.222 -0.146
Bi 0.228 -10.579 0.968
Dy 4.033 -7.396 -2.135
Dy -0.965 -8.750 3.132
Dy 2.769 -8.227 1.259
Te -3.073 -7.727 1.131
Dy 0.778 -4.199 -2.148
N 2.866 -8.815 -0.984
Dy -4.221 -5.553 3.120
Bi -0.415 -2.370 0.017
N -3.054 -4.134 1.969
```

---

# 18
# DyThBi2N

Crystalline DyThBi2N at its relaxed geometry (PBE, Alexandria).

Properties
Calculated volume: 26.94 Å³/atom
Energy: -6.52 eV/atom
Density of states at the Fermi level: 0.651 states/eV/atom
Formation energy (no corrections): -4.51 eV/f.u.

```
10
Lattice="-3.081 0.826 -2.764 -2.691 -2.281 2.317 -3.727 12.372 7.853" Properties=species:S:1:pos:R:3 pbc="T T T"
Dy -1.791 1.246 -0.853
Th -3.672 7.488 3.109
Dy -4.822 10.398 8.483
N -4.750 5.458 3.703
Bi -2.572 3.838 0.792
Bi -4.727 10.991 5.332
Th -2.941 4.156 4.521
N -1.864 6.186 3.926
Bi -4.041 7.807 6.838
Bi -1.886 0.654 2.298
```

---

# 19
# DyUBiN2

Crystalline DyUBiN2 at its relaxed geometry (PBE, Alexandria).

Properties
Calculated volume: 19.69 Å³/atom
Energy: -8.56 eV/atom
Density of states at the Fermi level: 0.615 states/eV/atom
Formation energy (no corrections): -6.39 eV/f.u.

```
5
Lattice="-1.985 -1.991 -2.749 1.073 -3.390 1.680 -4.759 2.849 4.186" Properties=species:S:1:pos:R:3 pbc="T T T"
Bi -0.529 -2.688 -0.484
N -1.989 -1.618 2.608
N -3.518 -0.919 0.394
U -1.785 0.054 1.250
Dy -3.977 -2.583 1.930
```

---

# 20
# Dy2ZrBi2N2

Crystalline Dy2ZrBi2N2 at its relaxed geometry (PBE, Alexandria).

Properties
Calculated volume: 21.42 Å³/atom
Energy: -6.99 eV/atom
Density of states at the Fermi level: 0.495 states/eV/atom
Formation energy (no corrections): -6.75 eV/f.u.

```
7
Lattice="-2.040 -3.591 -1.034 2.189 -0.193 -3.646 5.809 -2.536 6.108" Properties=species:S:1:pos:R:3 pbc="T T T"
N -1.020 -1.795 -0.517
Dy 1.189 -2.731 -1.627
N 1.095 -0.097 -1.823
Bi 3.701 -4.621 -0.018
Bi 2.257 -1.699 1.445
Dy 4.769 -3.589 3.053
Zr 0.000 0.000 0.000
```

---

# 21
# NaDyBi2

Crystalline NaDyBi2 at its relaxed geometry (PBE, Alexandria).

Properties
Calculated volume: 33.75 Å³/atom
Energy: -3.74 eV/atom
ΔH_f (0 K): -31 kJ per mole of atoms
Density of states at the Fermi level: 0.703 states/eV/atom

```
4
Lattice="-1.447 -2.983 -2.973 2.746 -1.497 -3.169 2.724 -7.332 2.696" Properties=species:S:1:pos:R:3 pbc="T T T"
Bi 1.051 -3.067 -0.769
Dy 2.012 -5.906 -1.723
Bi 2.973 -8.745 -2.677
Na 0.000 0.000 0.000
```

---

# 22
# NaDyBi2

Crystalline NaDyBi2 at its relaxed geometry (PBE, Alexandria).

Properties
Calculated volume: 29.50 Å³/atom
Energy: -3.82 eV/atom
ΔH_f (0 K): -39 kJ per mole of atoms
Density of states at the Fermi level: 1.095 states/eV/atom

```
4
Lattice="-4.751 -0.843 2.651 -3.524 -3.821 -1.815 -0.762 -4.631 2.878" Properties=species:S:1:pos:R:3 pbc="T T T"
Bi -6.778 -6.971 2.786
Bi -2.259 -2.324 0.929
Na -4.519 -4.648 1.857
Dy 0.000 0.000 0.000
```

---

# 23
# NaDyBi2

Crystalline NaDyBi2 at its relaxed geometry (PBE, Alexandria).

Properties
Calculated volume: 28.85 Å³/atom
Energy: -3.88 eV/atom
ΔH_f (0 K): -45 kJ per mole of atoms
Density of states at the Fermi level: 0.575 states/eV/atom

```
4
Lattice="-1.983 0.607 -3.759 3.947 -2.298 -2.453 -2.359 -4.590 0.504" Properties=species:S:1:pos:R:3 pbc="T T T"
Bi 1.974 -1.149 -1.227
Bi -1.179 -2.295 0.252
Na -0.992 0.303 -1.880
Dy -0.197 -3.140 -2.854
```

---

# 24
# NaDyBi

Crystalline NaDyBi at its relaxed geometry (PBE, Alexandria).

Properties
Calculated volume: 38.20 Å³/atom
Energy: -3.61 eV/atom
ΔH_f (0 K): -33 kJ per mole of atoms
Density of states at the Fermi level: 0.596 states/eV/atom

```
12
Lattice="5.299 0.000 0.000 0.000 10.397 0.244 -2.650 -0.840 8.300" Properties=species:S:1:pos:R:3 pbc="T T T"
Bi 2.650 0.885 2.469
Na 0.000 0.858 7.753
Dy 0.000 6.068 4.270
Dy 2.650 8.623 4.441
Na 2.650 8.699 0.792
Na 2.650 5.826 7.027
Dy 2.650 3.489 4.274
Bi 0.000 3.464 6.036
Bi 2.650 6.093 2.509
Na 0.000 3.731 1.517
Bi 0.000 8.672 6.075
Dy 0.000 0.934 4.104
```